Record 1
## LiCuF2 (GGA-PBEsol)

Data for a relaxed structure of LiCuF2.

Values from the calculation:
Symmetry: No. 166
Calculated volume: 10.26 Å³/atom
Spin magnetization: 0.00 μB/f.u.
DOS(E_F): 0.00 states/eV/cell
Calculated total energy: -4.563 eV/atom
Formation energy without anion corrections: -2.02 eV/atom

Unit cell a=2.8585 b=2.8585 c=6.0286 alpha=76.29 beta=76.29 gamma=60.00
Closest atoms and distances in Å follow each position.
Positions (direct):
F 0.1048 0.1048 0.6855  1 Cu 1.82, 3 Li 1.97
F 0.8952 0.8952 0.3145  1 Cu 1.82, 3 Li 1.97
Cu 0.0000 0.0000 0.0000  2 F 1.82
Li 0.5000 0.5000 0.5000  6 F 1.97



Record 2
## Al7Ag (GGA-PBEsol)

Data for a relaxed structure of Al7Ag.

Values from the calculation:
Symmetry: No. 10
Calculated volume: 16.21 Å³/atom
ΔE_f: -0.008 eV per atom
Spin magnetization: 0.00 μB/f.u.
DOS(E_F): 3.13 states/eV/cell
Calculated total energy: -4.002 eV/atom
E above lowest polymorph: 0.09 eV per formula unit

Unit cell a=2.8799 b=4.8629 c=9.4199 alpha=100.52 beta=90.00 gamma=90.00
Closest atoms and distances in Å follow each position.
Positions (direct):
Al 0.0000 0.2495 0.7482  11 Al 2.82-2.88, 1 Ag 2.85
Al 0.5000 0.5000 0.0000  4 Ag 2.83, 8 Al 2.84-2.88
Al 0.5000 0.2513 0.2502  10 Al 2.82-2.88, 2 Ag 2.84
Al 0.5000 0.0000 0.5000  12 Al 2.82-2.88
Al 0.0000 0.7505 0.2518  11 Al 2.82-2.88, 1 Ag 2.85
Al 0.0000 0.5000 0.5000  12 Al 2.83-2.88
Al 0.5000 0.7487 0.7498  10 Al 2.82-2.88, 2 Ag 2.84
Ag 0.0000 0.0000 0.0000  10 Al 2.83-2.85, 2 Ag 2.88



Record 3
## CoCuTe2 (GGA-PBEsol)

Data for a relaxed structure of CoCuTe2.

Values from the calculation:
Symmetry: No. 47
Calculated volume: 17.67 Å³/atom
Spin magnetization: 0.00 μB/f.u.
DOS(E_F): 2.45 states/eV/cell
Calculated total energy: -4.404 eV/atom
E above lowest polymorph: 0.59 eV per formula unit
Formation energy without anion corrections: 0.38 eV/atom

Unit cell a=3.0998 b=3.3170 c=6.8738 alpha=90.00 beta=90.00 gamma=90.00
Closest atoms and distances in Å follow each position.
Positions (direct):
Co 0.5000 0.5000 0.5000  8 Te 2.77, 2 Co 3.10
Te 0.0000 0.0000 0.2694  4 Co 2.77, 4 Cu 2.93, 2 Te 3.10
Te 0.0000 0.0000 0.7306  4 Co 2.77, 4 Cu 2.93, 2 Te 3.10
Cu 0.5000 0.5000 0.0000  8 Te 2.93, 2 Cu 3.10